CsLiTlCl2 | GGA-PBE | optimized geometry

Values from the calculation:
DOS(E_F) ... 0.2511 states/eV per atom
Formation energy from raw total energies ... -0.51 eV/atom
Spin magnetization ... 0.935 μB per formula unit
Space-group type ... P4/mmm, No. 123
Theoretical density ... 2.8 g/cm³

Cell: 6.0171 6.0171 6.9154 Å, 90.00 90.00 90.00°
Sites, in units of the cell vectors:
Cs  0.0000  0.0000  0.5000
Tl  0.0000  0.0000  0.0000
Cl  0.0000  0.5000  0.0000
Li  0.5000  0.5000  0.5000
Cl  0.5000  0.0000  0.0000